Entry 1:
First-principles (PBE) data for a relaxed structure of PuMgGa2Cu2, as listed in Alexandria via LeMat-Bulk.

a b c (Å): 4.2723 4.2723 6.8929
angles (deg): 90.00 90.00 120.00
With the nearest neighbours (Å) after each atom.
Atoms (fractional coordinates):
Pu: 0.0000 0.0000 0.0000  6 Ga 3.10, 6 Cu 3.22, 2 Mg 3.45
Mg: 0.0000 0.0000 0.5000  6 Cu 2.83, 6 Ga 2.92
Ga: 0.3333 0.6667 0.2733  3 Cu 2.47
Ga: 0.6667 0.3333 0.7267  3 Cu 2.47
Cu: 0.3333 0.6667 0.6999  3 Ga 2.47
Cu: 0.6667 0.3333 0.3001  3 Ga 2.47

crystal system	trigonal
formation energy	-1.27	eV per formula unit
M_tot	5.66	μB/cell
electronic total energy	-0.3852	Ry per atom

---

Entry 2:
First-principles (PBE) data for a relaxed structure of MgGaCuRu, as listed in Alexandria via LeMat-Bulk.

a b c (Å): 4.3219 4.3219 4.3219
angles (deg): 60.00 60.00 60.00
With the nearest neighbours (Å) after each atom.
Atoms (fractional coordinates):
Ru: 0.0000 0.0000 0.0000  4 Mg 2.65, 4 Ga 2.65
Mg: 0.2500 0.2500 0.2500  4 Ru 2.65, 4 Cu 2.65
Cu: 0.5000 0.5000 0.5000  4 Mg 2.65, 4 Ga 2.65
Ga: 0.7500 0.7500 0.7500  4 Ru 2.65, 4 Cu 2.65

E above lowest polymorph	71.4	meV/atom
crystal system	cubic
formation energy	-0.58	eV per formula unit
M_tot	0.00	μB/cell
electronic total energy	-0.3412	Ry per atom

---

Entry 3:
First-principles (PBE) data for a relaxed structure of MgGaCuRu2, as listed in Alexandria via LeMat-Bulk.

a b c (Å): 4.5615 4.2952 4.5615
angles (deg): 90.00 90.00 90.00
With the nearest neighbours (Å) after each atom.
Atoms (fractional coordinates):
Ru: 0.0000 0.0000 0.5000  2 Mg 2.28
Ru: 0.5000 0.0000 0.0000  2 Mg 2.28
Mg: 0.0000 0.0000 0.0000  2 Cu 2.15, 4 Ru 2.28
Cu: 0.0000 0.5000 0.0000  2 Mg 2.15
Ga: 0.5000 0.5000 0.5000  8 Ru 3.13, 4 Cu 3.23

crystal system	tetragonal
formation energy	6.68	eV per formula unit
M_tot	1.88	μB/cell
electronic total energy	-0.3026	Ry per atom